# 1
Y2MgFe (PBE-GGA, optimized geometry); total magnetic moment = 0.8 μB per formula unit; space group = No. 166; calculated formation energy = 18.98 kJ/mol of atoms
1.0
-2.386 3.343 -8.432
0.393 1.253 -9.287
-2.874 -0.170 -8.926
Mg Y Fe
1 2 1
direct
0.750 0.750 0.750 Mg
0.983 0.983 0.983 Y
0.517 0.517 0.517 Y
0.250 0.250 0.250 Fe

=====

# 2
Y2MgFe2 (PBE-GGA, optimized geometry); total magnetic moment = 0.0 μB per formula unit; space group = No. 65; calculated formation energy = -3.43 kJ/mol of atoms
1.0
-0.780 -2.513 3.231
3.294 -1.762 -0.575
1.443 5.294 4.466
Y Fe Mg
2 2 1
direct
0.500 0.360 0.719 Y
0.500 0.640 0.281 Y
0.000 0.785 0.571 Fe
0.000 0.215 0.429 Fe
0.000 0.000 0.000 Mg